No. 1
4
Lattice="-0.134 -2.339 -1.415 2.690 0.239 0.445 -0.904 -4.828 8.063" Properties=species:S:1:pos:R:3 comment="Li2InMo GGA-PBE optimized geometry" dos_ef_per_ev_cell=2.0 ef_mev_per_atom=239 pbc="T T T"
In 0.600 -4.671 5.562
Li -0.006 -0.032 0.053
Li -0.446 -2.383 3.979
Mo 1.052 -2.257 1.530



No. 2
7
Lattice="3.334 0.000 0.000 1.667 2.888 0.000 1.667 0.963 19.361" Properties=species:S:1:pos:R:3 comment="Ho2MgSc4 GGA-PBE optimized geometry" de_polymorph_ev_per_atom=0.061 dos_ef_per_ev_cell=12.6 ef_mev_per_atom=131 pbc="T T T"
Ho 1.667 0.963 5.730
Ho 5.001 2.888 13.631
Mg 0.000 0.000 0.000
Sc 5.001 2.888 16.834
Sc 1.667 0.963 2.527
Sc 1.667 0.963 10.955
Sc 5.001 2.888 8.406



No. 3
9
Lattice="-3.121 -5.678 1.814 6.736 -5.991 -1.948 5.691 -2.635 6.763" Properties=species:S:1:pos:R:3 comment="Cs2Rb4GaBi2 GGA-PBE optimized geometry" dos_ef_per_ev_cell=5.6 ef_mev_per_atom=-146 pbc="T T T"
Cs 7.097 -7.268 3.652
Cs 2.208 -7.036 2.976
Rb 4.333 -5.243 -0.239
Rb 5.546 -10.903 2.087
Rb 4.972 -9.061 6.868
Rb 3.760 -3.401 4.541
Ga -1.560 -2.839 0.907
Bi 1.249 -3.097 1.343
Bi 8.057 -11.208 5.285



No. 4
18
Lattice="-6.154 2.778 -4.780 -2.609 -5.083 5.982 3.607 6.397 3.808" Properties=species:S:1:pos:R:3 comment="Ho6Ni2Ge GGA-PBE optimized geometry" dos_ef_per_ev_cell=16.7 ef_mev_per_atom=-411 pbc="T T T"
Ho -2.212 3.101 4.844
Ho -2.944 0.991 0.167
Ho 1.577 4.098 4.324
Ho -6.732 -0.006 0.687
Ho -4.894 1.995 2.902
Ho -0.262 2.097 2.109
Ho 0.267 2.794 7.302
Ho -5.423 1.298 -2.292
Ho -2.774 4.374 1.427
Ho -2.381 -0.281 3.584
Ho -2.038 0.170 6.950
Ho -3.118 3.922 -1.940
Ni -0.896 5.084 3.210
Ni -4.259 -0.991 1.801
Ni -1.671 6.022 -0.638
Ni -0.875 3.153 -0.334
Ge 0.499 0.657 4.895
Ge 0.000 0.000 0.000



No. 5
18
Lattice="-0.695 -3.721 1.098 6.259 0.599 -1.083 1.735 3.146 11.765" Properties=species:S:1:pos:R:3 comment="PmP3Ir5 GGA-PBE optimized geometry" dos_ef_per_ev_cell=8.8 ef_mev_per_atom=-600 pbc="T T T"
Pm 5.110 -0.388 8.997
Pm 2.189 0.412 2.783
P 6.304 1.992 10.743
P 4.558 -2.028 3.086
P 5.613 0.740 6.063
P 1.686 -0.716 5.717
P 2.741 2.053 8.694
P 0.996 -1.967 1.037
Ir 3.754 -1.258 5.186
Ir 4.135 2.353 10.596
Ir 0.867 1.573 5.883
Ir 0.000 0.000 0.000
Ir 5.376 -0.657 1.177
Ir 1.923 0.681 10.603
Ir 1.539 -0.014 8.002
Ir 3.164 -2.329 1.184
Ir 3.545 1.283 6.593
Ir 5.760 0.039 3.778



No. 6
8
Lattice="-0.458 0.314 4.432 6.229 -0.465 2.927 4.150 4.994 2.326" Properties=species:S:1:pos:R:3 comment="NdU2Ru5 GGA-PBE optimized geometry" dos_ef_per_ev_cell=6.5 ef_mev_per_atom=-237 pbc="T T T"
Nd 0.000 0.000 0.000
U 7.222 3.548 7.247
U 2.699 1.296 2.438
Ru 5.189 2.265 2.626
Ru 4.156 0.680 4.882
Ru 5.765 4.164 4.802
Ru 6.713 1.675 5.076
Ru 3.208 3.169 4.608



No. 7
8
Lattice="4.663 0.000 0.000 0.000 7.986 0.176 0.000 -2.770 7.437" Properties=species:S:1:pos:R:3 comment="NaLa2PaBi4 GGA-PBE optimized geometry" dos_ef_per_ev_cell=3.0 ef_mev_per_atom=-565 pbc="T T T"
Na 2.331 3.993 0.088
La 2.331 -1.385 3.719
La 0.000 2.608 3.807
Pa 0.000 0.000 0.000
Bi 2.331 1.259 1.775
Bi 2.331 3.957 5.839
Bi 0.000 -0.195 5.708
Bi 0.000 5.411 1.906



No. 8
5
Lattice="5.642 0.000 0.000 2.821 6.751 0.193 2.821 2.168 6.397" Properties=species:S:1:pos:R:3 comment="Ba3Li2 GGA-PBE optimized geometry" de_polymorph_ev_per_atom=0.022 dos_ef_per_ev_cell=6.2 ef_mev_per_atom=59 pbc="T T T"
Ba 0.000 0.000 0.000
Ba 8.463 6.289 4.646
Ba 2.821 2.631 1.944
Li 5.642 3.579 4.487
Li 5.642 5.340 2.103



No. 9
10
Lattice="-3.519 1.607 -2.835 0.665 -3.730 -2.940 -6.848 -5.475 5.397" Properties=species:S:1:pos:R:3 comment="Ba2Ga5Ge3 GGA-PBE optimized geometry" de_polymorph_ev_per_atom=0.004 dos_ef_per_ev_cell=2.2 ef_mev_per_atom=-375 pbc="T T T"
Ba -3.461 -0.557 -0.076
Ba -4.813 -5.980 2.585
Ga -1.427 -1.062 -2.887
Ga 0.000 0.000 0.000
Ga -7.754 -3.989 3.306
Ga -0.521 -2.547 -0.797
Ga -4.851 -3.799 -0.189
Ge -5.979 -2.571 1.908
Ge -2.295 -3.966 0.601
Ge -3.424 -2.738 2.698



No. 10
20
Lattice="7.602 0.000 0.000 0.000 5.315 0.000 0.000 0.000 7.746" Properties=species:S:1:pos:R:3 comment="V2Mo3 GGA-PBE optimized geometry" de_polymorph_ev_per_atom=0.518 dos_ef_per_ev_cell=23.4 ef_mev_per_atom=377 pbc="T T T"
V 1.633 4.399 1.171
V 2.168 1.742 2.702
V 1.633 3.573 6.575
V 2.168 0.916 5.044
V 5.969 0.916 6.575
V 5.434 3.573 5.044
V 5.969 1.742 1.171
V 5.434 4.399 2.702
Mo 3.754 4.917 6.523
Mo 0.047 2.260 5.095
Mo 3.754 3.055 1.222
Mo 0.047 0.398 2.651
Mo 3.848 0.398 1.222
Mo 7.555 3.055 2.651
Mo 3.848 2.260 6.523
Mo 7.555 4.917 5.095
Mo 6.428 3.986 0.000
Mo 4.975 1.329 3.873
Mo 1.174 1.329 0.000
Mo 2.627 3.986 3.873



No. 11
4
Lattice="4.412 -0.327 0.394 2.477 3.666 0.394 1.954 0.947 3.869" Properties=species:S:1:pos:R:3 comment="ZrAl2Co GGA-PBE optimized geometry" dos_ef_per_ev_cell=2.6 ef_mev_per_atom=-335 pbc="T T T"
Co 4.422 2.143 2.330
Al 8.844 4.286 4.658
Al 6.633 3.214 3.493
Zr 2.211 1.072 1.165



No. 12
6
Lattice="2.536 -4.392 0.000 2.536 4.392 0.000 0.000 0.000 3.434" Properties=species:S:1:pos:R:3 comment="SmBe2Ni3 GGA-PBE optimized geometry" dos_ef_per_ev_cell=2.6 ef_mev_per_atom=-429 pbc="T T T"
Sm 0.000 0.000 0.000
Be 2.536 1.464 0.000
Be 2.536 -1.464 0.000
Ni 1.268 2.196 1.717
Ni 2.536 0.000 1.717
Ni 1.268 -2.196 1.717



No. 13
10
Lattice="7.496 0.000 0.000 0.000 7.496 0.000 0.000 0.000 2.932" Properties=species:S:1:pos:R:3 comment="Li2LaMn2 GGA-PBE optimized geometry" de_polymorph_ev_per_atom=0.095 dos_ef_per_ev_cell=16.1 ef_mev_per_atom=618 pbc="T T T"
Mn 3.055 6.803 0.000
Mn 6.803 4.441 0.000
Mn 4.441 0.693 0.000
Mn 0.693 3.055 0.000
Li 1.379 5.127 1.466
Li 5.127 6.117 1.466
Li 6.117 2.369 1.466
Li 2.369 1.379 1.466
La 0.000 0.000 0.000
La 3.748 3.748 0.000



No. 14
9
Lattice="-6.632 -1.720 1.743 -2.679 -5.623 -1.403 1.705 -2.791 6.320" Properties=species:S:1:pos:R:3 comment="KMgAgCl6 GGA-PBE optimized geometry" formation_energy_uncorrected_ev_per_atom=-1.13 pbc="T T T"
K -2.688 -5.542 -1.364
Mg -5.384 -6.099 3.480
Ag -2.252 -3.836 3.277
Cl -7.067 -4.585 2.756
Cl -1.299 -2.605 5.074
Cl -3.993 -5.376 5.268
Cl -7.156 -7.197 5.144
Cl -3.591 -5.104 1.764
Cl -3.625 -1.917 2.981



No. 15
4
Lattice="4.799 0.005 -0.001 0.898 4.714 0.001 -2.269 -3.060 2.919" Properties=species:S:1:pos:R:3 comment="Mn2SiPb GGA-PBE optimized geometry" formation_energy_uncorrected_ev_per_atom=0.36 de_polymorph_ev_per_atom=0.148 dos_ef_per_ev_cell=2.7 pbc="T T T"
Mn 0.230 0.191 0.000
Mn 2.618 2.169 0.000
Pb 2.689 -0.347 1.459
Si 0.739 2.007 1.460



No. 16
4
Lattice="0.000 2.910 2.910 2.910 0.000 2.910 2.910 2.910 0.000" Properties=species:S:1:pos:R:3 comment="PHPt2 GGA-PBE optimized geometry" de_polymorph_ev_per_atom=0.485 dos_ef_per_ev_cell=3.3 pbc="T T T"
P 2.910 2.910 2.910
Pt 1.455 1.455 1.455
Pt 4.366 4.366 4.366
H 0.000 0.000 0.000



No. 17
4
Lattice="3.645 0.000 0.000 0.000 3.645 0.000 0.000 0.000 7.837" Properties=species:S:1:pos:R:3 comment="CeLuHg2 GGA-PBE optimized geometry" de_polymorph_ev_per_atom=0.000 dos_ef_per_ev_cell=8.6 ef_mev_per_atom=-387 pbc="T T T"
Lu 1.823 1.823 0.000
Hg 0.000 0.000 6.074
Hg 0.000 0.000 1.763
Ce 1.823 1.823 3.919



No. 18
4
Lattice="4.778 0.000 0.000 0.000 4.778 0.000 0.000 0.000 3.116" Properties=species:S:1:pos:R:3 comment="InCu2Cl GGA-PBE optimized geometry" formation_energy_uncorrected_ev_per_atom=0.29 de_polymorph_ev_per_atom=0.390 dos_ef_per_ev_cell=1.6 pbc="T T T"
Cl 0.000 2.389 1.558
Cu 0.000 0.000 0.000
Cu 2.389 2.389 0.000
In 2.389 0.000 1.558



No. 19
16
Lattice="4.019 0.000 0.000 0.000 4.019 0.000 0.000 0.000 16.053" Properties=species:S:1:pos:R:3 comment="Ti12ZnGa3 GGA-PBE optimized geometry" dos_ef_per_ev_cell=18.2 ef_mev_per_atom=-264 pbc="T T T"
Ti 2.009 2.009 0.000
Ti 2.009 2.009 4.008
Ti 2.009 2.009 8.026
Ti 2.009 2.009 12.045
Ti 2.009 0.000 2.011
Ti 2.009 0.000 6.021
Ti 2.009 0.000 10.032
Ti 2.009 0.000 14.042
Ti 0.000 2.009 2.011
Ti 0.000 2.009 6.021
Ti 0.000 2.009 10.032
Ti 0.000 2.009 14.042
Zn 0.000 0.000 0.000
Ga 0.000 0.000 4.002
Ga 0.000 0.000 8.026
Ga 0.000 0.000 12.051



No. 20
5
Lattice="-0.998 1.285 -4.658 -4.449 -2.832 0.172 -2.458 3.960 1.619" Properties=species:S:1:pos:R:3 comment="SrLi2TcP GGA-PBE optimized geometry" dos_ef_per_ev_cell=4.3 ef_mev_per_atom=1470 pbc="T T T"
Sr 0.000 0.000 0.000
Li -1.229 1.980 0.809
Li -0.499 0.642 -2.329
Tc -3.952 1.206 -1.434
P -2.224 -1.416 0.086



Computed calculated total energy (eV per atom) in order:
-4.110 -5.023 -1.964 -5.261 -7.854 -9.452 -5.090 -1.860 -3.658 -9.769 -6.120 -5.348 -4.801 -2.977 -6.510 -4.915 -3.152 -2.901 -6.832 -2.787